(1)
The following is a DFT calculation (PBE) of an optimized crystal structure of Nb14WAu.

a = 6.6244 Å, b = 9.4769 Å, c = 9.1820 Å
α = 90.00°, β = 90.00°, γ = 90.00°
Space group Cmmm (No. 65)
Symmetry-distinct sites (fractional):
Nb1 0.0000 0.0000 0.0000 (multiplicity 2)
Nb2 0.0000 0.2486 0.2534 (multiplicity 8)
Nb3 0.0000 0.5000 0.0000 (multiplicity 2)
Nb4 0.2400 0.5000 0.2498 (multiplicity 8)
Nb5 0.2500 0.2500 0.0000 (multiplicity 4)
Nb6 0.2500 0.2500 0.5000 (multiplicity 4)
W1 0.0000 0.5000 0.5000 (multiplicity 2)
Au1 0.0000 0.0000 0.5000 (multiplicity 2)

Calculated values
DOS at the Fermi energy (states/eV/cell): 40.92
DFT formation energy (meV per atom): -36
Electronic total energy (eV per atom): -9.86

=====

(2)
The following is a DFT calculation (PBE) of an optimized crystal structure of TcSb2NCl.

a = 5.2036 Å, b = 5.2036 Å, c = 3.7976 Å
α = 90.00°, β = 90.00°, γ = 90.00°
Space group P4/mmm (No. 123)
Symmetry-distinct sites (fractional):
Tc1 0.0000 0.0000 0.0000 (multiplicity 1)
Sb1 0.0000 0.5000 0.5000 (multiplicity 2)
N1 0.0000 0.0000 0.5000 (multiplicity 1)
Cl1 0.5000 0.5000 0.0000 (multiplicity 1)

Calculated values
DOS at the Fermi energy (states/eV/cell): 4.03
Electronic total energy (eV per atom): -5.16
Formation energy (no corrections) (eV per atom): 0.59

=====

(3)
The following is a DFT calculation (PBE) of an optimized crystal structure of V12Ge3Rh.

a = 4.7515 Å, b = 4.7593 Å, c = 9.5502 Å
α = 90.00°, β = 90.00°, γ = 90.00°
Space group Pmmm (No. 47)
Symmetry-distinct sites (fractional):
V1 0.0000 0.0000 0.1200 (multiplicity 2)
V2 0.0000 0.0000 0.3698 (multiplicity 2)
V3 0.2501 0.5000 0.2502 (multiplicity 4)
V4 0.5000 0.2457 0.5000 (multiplicity 2)
V5 0.5000 0.2510 0.0000 (multiplicity 2)
Ge1 0.0000 0.5000 0.5000 (multiplicity 1)
Ge2 0.5000 0.0000 0.2519 (multiplicity 2)
Rh1 0.0000 0.5000 0.0000 (multiplicity 1)

Calculated values
DOS at the Fermi energy (states/eV/cell): 18.60
DFT formation energy (meV per atom): -331
Electronic total energy (eV per atom): -8.50

=====

(4)
The following is a DFT calculation (PBE) of an optimized crystal structure of Sr2Bi2F.

a = 7.5250 Å, b = 7.5250 Å, c = 5.4587 Å
α = 90.00°, β = 90.00°, γ = 90.00°
Space group P4/mbm (No. 127)
Symmetry-distinct sites (fractional):
Sr1 0.1800 0.3200 0.0000 (multiplicity 4)
Bi1 0.1413 0.6413 0.5000 (multiplicity 4)
F1 0.0000 0.0000 0.0000 (multiplicity 2)

Calculated values
DOS at the Fermi energy (states/eV/cell): 3.25
Electronic total energy (eV per atom): -4.02
Formation energy (no corrections) (eV per atom): -1.42

=====

(5)
The following is a DFT calculation (PBE) of an optimized crystal structure of LiTlAsS3.

a = 6.7404 Å, b = 12.5688 Å, c = 6.5722 Å
α = 90.00°, β = 90.00°, γ = 90.00°
Space group Cmcm (No. 63)
Symmetry-distinct sites (fractional):
Li1 0.0000 0.0819 0.2500 (multiplicity 4)
Tl1 0.0000 0.2232 0.7500 (multiplicity 4)
As1 0.0000 0.4533 0.2500 (multiplicity 4)
S1 0.0000 0.2776 0.2500 (multiplicity 4)
S2 0.2425 0.0000 0.0000 (multiplicity 8)

Calculated values
DOS at the Fermi energy (states/eV/cell): 3.61
Electronic total energy (eV per atom): -3.95
Formation energy (no corrections) (eV per atom): -0.40

=====

(6)
The following is a DFT calculation (PBE) of an optimized crystal structure of ThGa2NiPd2.

a = 4.5212 Å, b = 4.5212 Å, c = 5.4714 Å
α = 90.00°, β = 90.00°, γ = 90.00°
Space group P4/mmm (No. 123)
Symmetry-distinct sites (fractional):
Th1 0.0000 0.0000 0.0000 (multiplicity 1)
Ga1 0.0000 0.5000 0.5000 (multiplicity 2)
Ni1 0.0000 0.0000 0.5000 (multiplicity 1)
Pd1 0.5000 0.5000 0.2397 (multiplicity 2)

Calculated values
DOS at the Fermi energy (states/eV/cell): 2.38
DFT formation energy (meV per atom): -506
Electronic total energy (eV per atom): -5.45